--- a ---
# BeCr2Rh PBE optimized geometry
# volume: 11.54 A^3/atom
data_BeCr2Rh
_chemical_formula_sum 'Be1 Cr2 Rh1'
_cell_length_a 2.5845
_cell_length_b 3.8152
_cell_length_c 4.7057
_cell_angle_alpha 90.00
_cell_angle_beta 95.78
_cell_angle_gamma 90.00
_space_group_name_H-M_alt 'P 1 2/m 1'
_space_group_IT_number 10
loop_
_space_group_symop_operation_xyz
'x,y,z'
'-x,-y,-z'
'-x,y,-z'
'x,-y,z'
loop_
_atom_site_label
_atom_site_type_symbol
_atom_site_fract_x
_atom_site_fract_y
_atom_site_fract_z
_atom_site_occupancy
Be1 Be 0.0000 0.0000 0.0000 1
Cr1 Cr 0.4695 0.5000 0.2210 1
Rh1 Rh 0.0000 0.0000 0.5000 1

--- b ---
# BeCr2Rh PBE optimized geometry
# volume: 11.87 A^3/atom
data_BeCr2Rh
_chemical_formula_sum 'Be2 Cr4 Rh2'
_cell_length_a 4.0530
_cell_length_b 4.0742
_cell_length_c 5.7495
_cell_angle_alpha 90.00
_cell_angle_beta 90.00
_cell_angle_gamma 90.00
_space_group_name_H-M_alt 'I m m 2'
_space_group_IT_number 44
loop_
_space_group_symop_operation_xyz
'x,y,z'
'-x,-y,z'
'-x,y,z'
'x,-y,z'
'x+1/2,y+1/2,z+1/2'
'-x+1/2,-y+1/2,z+1/2'
'-x+1/2,y+1/2,z+1/2'
'x+1/2,-y+1/2,z+1/2'
loop_
_atom_site_label
_atom_site_type_symbol
_atom_site_fract_x
_atom_site_fract_y
_atom_site_fract_z
_atom_site_occupancy
Be1 Be 0.0000 0.0000 0.0000 1
Cr1 Cr 0.0000 0.0000 0.5035 1
Cr2 Cr 0.0000 0.5000 0.2497 1
Rh1 Rh 0.0000 0.5000 0.7495 1

What are the relative energies? In meV/atom: a 0; b 6.